The following is a DFT calculation (PBE) of a relaxed structure of SbAs2Ir.

## Properties
- energy relative to the elements, uncorrected (meV per atom) = 452
- ΔE to the lowest computed polymorph (kcal/mol of atoms) = 11.29
- total energy (eV/cell) = -20.48
- crystal system = orthorhombic
- density of states at the Fermi level (states/eV/f.u.) = 2.66
- space group = Pmmm (47)

a = 3.1092 Å, b = 4.8835 Å, c = 4.9607 Å
α = 90.00°, β = 90.00°, γ = 90.00°
Closest atoms and distances in Å follow each position.
Element x y z (fractional)
Sb: 0.0000 0.0000 0.0000  4 Ir 2.89, 4 As 2.93, 2 Sb 3.11
As: 0.0000 0.5000 0.5000  6 As 2.89-3.11, 4 Ir 2.93
As: 0.5000 0.0000 0.5000  6 As 2.89-3.11, 4 Sb 2.93
Ir: 0.5000 0.5000 0.0000  4 Sb 2.89, 4 As 2.93, 2 Ir 3.11



The following is a DFT calculation (PBE) of a relaxed structure of SbAs2Ir.

## Properties
- energy relative to the elements, uncorrected (meV per atom) = 481
- ΔE to the lowest computed polymorph (kcal/mol of atoms) = 11.96
- total energy (eV/cell) = -20.36
- crystal system = orthorhombic
- density of states at the Fermi level (states/eV/f.u.) = 2.45
- space group = Cmmm (65)

a = 4.7869 Å, b = 4.7869 Å, c = 3.4024 Å
α = 90.00°, β = 90.00°, γ = 103.71°
Closest atoms and distances in Å follow each position.
Element x y z (fractional)
Sb: 0.0000 0.0000 0.0000  8 As 2.94, 2 Ir 2.96
As: 0.0000 0.5000 0.5000  4 Sb 2.94, 4 Ir 2.94, 2 As 2.96
As: 0.5000 0.0000 0.5000  4 Sb 2.94, 4 Ir 2.94, 2 As 2.96
Ir: 0.5000 0.5000 0.0000  8 As 2.94, 2 Sb 2.96



> What is the formula in the first record?

SbAs2Ir



> What is the ΔE to the lowest computed polymorph in the first record?

11.29 kcal/mol of atoms



> Which value of density of states at the Fermi level does entry 1 give?

2.66 states/eV/f.u.



> Look up the total energy of the second one.

-20.36 eV/cell